Below is a relaxed ScTa2Ru2 crystal, with properties calculated at the PBE level.

Output
Uncorrected energy in eV for the cell shown: -99.3
Distance to the lowest polymorph of the same formula in eV per atom: 0.231
Energy of formation in eV/atom: -0.210
Crystal system: tetragonal

CIF file:
```
data_ScTa2Ru2
_chemical_formula_sum 'Sc2 Ta4 Ru4'
_space_group_name_H-M_alt 'P 4/m b m'
_space_group_IT_number 127
_space_group_name_Hall '-P 4 2ab'
_cell_length_a 7.595
_cell_length_b 7.595
_cell_length_c 3.059
_cell_angle_alpha 90.00
_cell_angle_beta 90.00
_cell_angle_gamma 90.00
loop_
_atom_site_label
_atom_site_fract_x
_atom_site_fract_y
_atom_site_fract_z
_atom_site_occupancy
Sc1 0.000 0.000 0.000 1
Ta1 0.156 0.344 0.500 1
Ru1 0.140 0.640 0.000 1
```

***

Below is a relaxed Sc4TaRu5 crystal, with properties calculated at the PBE level.

Output
Uncorrected energy in eV for the cell shown: -89.5
Energy of formation in eV/atom: -0.590
Crystal system: tetragonal

CIF file:
```
data_Sc4TaRu5
_chemical_formula_sum 'Sc4 Ta1 Ru5'
_space_group_name_H-M_alt 'P 4/m m m'
_space_group_IT_number 123
_space_group_name_Hall '-P 4 2'
_cell_length_a 3.196
_cell_length_b 3.196
_cell_length_c 16.082
_cell_angle_alpha 90.00
_cell_angle_beta 90.00
_cell_angle_gamma 90.00
loop_
_atom_site_label
_atom_site_fract_x
_atom_site_fract_y
_atom_site_fract_z
_atom_site_occupancy
Sc1 0.000 0.000 0.100 1
Sc2 0.000 0.000 0.297 1
Ta1 0.000 0.000 0.500 1
Ru1 0.500 0.500 0.000 1
Ru2 0.500 0.500 0.202 1
Ru3 0.500 0.500 0.406 1
```

***

Below is a relaxed ScTaRu2 crystal, with properties calculated at the PBE level.

Output
Uncorrected energy in eV for the cell shown: -39.2
Distance to the lowest polymorph of the same formula in eV per atom: 0.010
Energy of formation in eV/atom: -0.616
Crystal system: tetragonal

CIF file:
```
data_ScTaRu2
_chemical_formula_sum 'Sc1 Ta1 Ru2'
_space_group_name_H-M_alt 'P 4/m m m'
_space_group_IT_number 123
_space_group_name_Hall '-P 4 2'
_cell_length_a 3.180
_cell_length_b 3.180
_cell_length_c 6.429
_cell_angle_alpha 90.00
_cell_angle_beta 90.00
_cell_angle_gamma 90.00
loop_
_atom_site_label
_atom_site_fract_x
_atom_site_fract_y
_atom_site_fract_z
_atom_site_occupancy
Sc1 0.000 0.000 0.000 1
Ta1 0.000 0.000 0.500 1
Ru1 0.500 0.500 0.261 1
```

***

Below is a relaxed ScTa2Ru crystal, with properties calculated at the PBE level.

Output
Uncorrected energy in eV for the cell shown: -39.6
Energy of formation in eV/atom: -0.067
Crystal system: tetragonal

CIF file:
```
data_ScTa2Ru
_chemical_formula_sum 'Sc1 Ta2 Ru1'
_space_group_name_H-M_alt 'P 4/m m m'
_space_group_IT_number 123
_space_group_name_Hall '-P 4 2'
_cell_length_a 3.134
_cell_length_b 3.134
_cell_length_c 7.344
_cell_angle_alpha 90.00
_cell_angle_beta 90.00
_cell_angle_gamma 90.00
loop_
_atom_site_label
_atom_site_fract_x
_atom_site_fract_y
_atom_site_fract_z
_atom_site_occupancy
Sc1 0.000 0.000 0.000 1
Ta1 0.500 0.500 0.282 1
Ru1 0.000 0.000 0.500 1
```

***

Below is a relaxed Sc2TaRu crystal, with properties calculated at the PBE level.

Output
Uncorrected energy in eV for the cell shown: -67.4
Distance to the lowest polymorph of the same formula in eV per atom: 0.278
Energy of formation in eV/atom: 0.017
Crystal system: tetragonal

CIF file:
```
data_Sc2TaRu
_chemical_formula_sum 'Sc4 Ta2 Ru2'
_space_group_name_H-M_alt 'I 4/m m m'
_space_group_IT_number 139
_space_group_name_Hall '-I 4 2'
_cell_length_a 3.913
_cell_length_b 3.913
_cell_length_c 9.594
_cell_angle_alpha 90.00
_cell_angle_beta 90.00
_cell_angle_gamma 90.00
loop_
_atom_site_label
_atom_site_fract_x
_atom_site_fract_y
_atom_site_fract_z
_atom_site_occupancy
Sc1 0.000 0.500 0.250 1
Ta1 0.000 0.000 0.000 1
Ru1 0.000 0.000 0.500 1
```

***

Below is a relaxed ScTa2Ru crystal, with properties calculated at the PBE level.

Output
Uncorrected energy in eV for the cell shown: -117.5
Energy of formation in eV/atom: 0.038
Crystal system: trigonal

CIF file:
```
data_ScTa2Ru
_chemical_formula_sum 'Sc3 Ta6 Ru3'
_space_group_name_H-M_alt 'R 3 m'
_space_group_IT_number 160
_space_group_name_Hall 'R 3 -2"'
_cell_length_a 3.0814
_cell_length_b 3.0814
_cell_length_c 26.6840
_cell_angle_alpha 90.00
_cell_angle_beta 90.00
_cell_angle_gamma 120.00
loop_
_atom_site_label
_atom_site_fract_x
_atom_site_fract_y
_atom_site_fract_z
_atom_site_occupancy
Sc1 0.0000 0.0000 0.0000 1
Ta1 0.0000 0.0000 0.5139 1
Ta2 0.0000 0.0000 0.7609 1
Ru1 0.0000 0.0000 0.2524 1
```

***

Below is a relaxed Sc2TaRu crystal, with properties calculated at the PBE level.

Output
Uncorrected energy in eV for the cell shown: -33.6
Distance to the lowest polymorph of the same formula in eV per atom: 0.307
Energy of formation in eV/atom: 0.046
Crystal system: tetragonal

CIF file:
```
data_Sc2TaRu
_chemical_formula_sum 'Sc2 Ta1 Ru1'
_space_group_name_H-M_alt 'P 4/m m m'
_space_group_IT_number 123
_space_group_name_Hall '-P 4 2'
_cell_length_a 4.736
_cell_length_b 4.736
_cell_length_c 3.265
_cell_angle_alpha 90.00
_cell_angle_beta 90.00
_cell_angle_gamma 90.00
loop_
_atom_site_label
_atom_site_fract_x
_atom_site_fract_y
_atom_site_fract_z
_atom_site_occupancy
Sc1 0.000 0.500 0.000 1
Ta1 0.000 0.000 0.500 1
Ru1 0.500 0.500 0.500 1
```

***

Below is a relaxed ScTaRu2 crystal, with properties calculated at the PBE level.

Output
Uncorrected energy in eV for the cell shown: -74.7
Distance to the lowest polymorph of the same formula in eV per atom: 0.468
Energy of formation in eV/atom: -0.159
Crystal system: monoclinic

CIF file:
```
data_ScTaRu2
_chemical_formula_sum 'Sc2 Ta2 Ru4'
_space_group_name_H-M_alt 'C 1 2/m 1'
_space_group_IT_number 12
_space_group_name_Hall '-C 2y'
_cell_length_a 8.368
_cell_length_b 3.075
_cell_length_c 5.374
_cell_angle_alpha 90.00
_cell_angle_beta 101.98
_cell_angle_gamma 90.00
loop_
_atom_site_label
_atom_site_fract_x
_atom_site_fract_y
_atom_site_fract_z
_atom_site_occupancy
Sc1 0.000 0.000 0.000 1
Ta1 0.000 0.500 0.500 1
Ru1 0.244 0.000 0.732 1
```

***

Below is a relaxed Sc2TaRu3 crystal, with properties calculated at the PBE level.

Output
Uncorrected energy in eV for the cell shown: -112.3
Distance to the lowest polymorph of the same formula in eV per atom: 0.000
Energy of formation in eV/atom: -0.637
Crystal system: orthorhombic

CIF file:
```
data_Sc2TaRu3
_chemical_formula_sum 'Sc4 Ta2 Ru6'
_space_group_name_H-M_alt 'C m m m'
_space_group_IT_number 65
_space_group_name_Hall '-C 2 2'
_cell_length_a 4.542
_cell_length_b 13.531
_cell_length_c 3.186
_cell_angle_alpha 90.00
_cell_angle_beta 90.00
_cell_angle_gamma 90.00
loop_
_atom_site_label
_atom_site_fract_x
_atom_site_fract_y
_atom_site_fract_z
_atom_site_occupancy
Sc1 0.000 0.168 0.000 1
Ta1 0.000 0.500 0.000 1
Ru1 0.000 0.000 0.500 1
Ru2 0.000 0.341 0.500 1
```

***

Below is a relaxed Sc2TaRu crystal, with properties calculated at the PBE level.

Output
Uncorrected energy in eV for the cell shown: -98.7
Distance to the lowest polymorph of the same formula in eV per atom: 0.480
Energy of formation in eV/atom: 0.220
Crystal system: trigonal

CIF file:
```
data_Sc2TaRu
_chemical_formula_sum 'Sc6 Ta3 Ru3'
_space_group_name_H-M_alt 'R -3 m'
_space_group_IT_number 166
_space_group_name_Hall '-R 3 2"'
_cell_length_a 3.0151
_cell_length_b 3.0151
_cell_length_c 29.5785
_cell_angle_alpha 90.00
_cell_angle_beta 90.00
_cell_angle_gamma 120.00
loop_
_atom_site_label
_atom_site_fract_x
_atom_site_fract_y
_atom_site_fract_z
_atom_site_occupancy
Sc1 0.0000 0.0000 0.0978 1
Ta1 0.0000 0.0000 0.0000 1
Ru1 0.0000 0.0000 0.5000 1
```

***

Below is a relaxed Sc2TaRu crystal, with properties calculated at the PBE level.

Output
Uncorrected energy in eV for the cell shown: -34.1
Distance to the lowest polymorph of the same formula in eV per atom: 0.183
Energy of formation in eV/atom: -0.078
Crystal system: monoclinic

CIF file:
```
data_Sc2TaRu
_chemical_formula_sum 'Sc2 Ta1 Ru1'
_space_group_name_H-M_alt 'P 1 2/m 1'
_space_group_IT_number 10
_space_group_name_Hall '-P 2y'
_cell_length_a 3.066
_cell_length_b 4.421
_cell_length_c 5.648
_cell_angle_alpha 90.00
_cell_angle_beta 105.34
_cell_angle_gamma 90.00
loop_
_atom_site_label
_atom_site_fract_x
_atom_site_fract_y
_atom_site_fract_z
_atom_site_occupancy
Sc1 0.094 0.000 0.264 1
Ta1 0.500 0.500 0.000 1
Ru1 0.500 0.500 0.500 1
```

***

Below is a relaxed ScTa5Ru6 crystal, with properties calculated at the PBE level.

Output
Uncorrected energy in eV for the cell shown: -252.4
Energy of formation in eV/atom: -0.413
Crystal system: orthorhombic

CIF file:
```
data_ScTa5Ru6
_chemical_formula_sum 'Sc2 Ta10 Ru12'
_space_group_name_H-M_alt 'C m m m'
_space_group_IT_number 65
_space_group_name_Hall '-C 2 2'
_cell_length_a 4.407
_cell_length_b 13.214
_cell_length_c 6.615
_cell_angle_alpha 90.00
_cell_angle_beta 90.00
_cell_angle_gamma 90.00
loop_
_atom_site_label
_atom_site_fract_x
_atom_site_fract_y
_atom_site_fract_z
_atom_site_occupancy
Sc1 0.000 0.000 0.000 1
Ta1 0.000 0.000 0.500 1
Ta2 0.000 0.332 0.500 1
Ta3 0.000 0.334 0.000 1
Ru1 0.000 0.168 0.245 1
Ru2 0.000 0.500 0.250 1
```